A plane-wave DFT calculation with PBE was carried out for a relaxed structure of Hf4AsSe.

Cell lengths 7.138, 7.138, 7.138 Å; angles 105.62, 105.62, 117.48 degrees
Sites, in units of the cell vectors:
Hf: 0.206 0.500 0.707
Hf: 0.250 0.043 0.793
Hf: 0.250 0.456 0.207
Hf: 0.293 0.000 0.293
Hf: 0.707 0.000 0.707
Hf: 0.750 0.543 0.793
Hf: 0.750 0.957 0.207
Hf: 0.793 0.500 0.293
As: 0.000 0.000 0.000
As: 0.750 0.250 0.500
Se: 0.250 0.750 0.500
Se: 0.500 0.500 0.000

Results
Symmetry: I4_1md, No. 109

A plane-wave DFT calculation with PBE was carried out for a relaxed structure of Hf6AsSe.

Cell lengths 6.121, 6.132, 6.582 Å; angles 117.49, 90.26, 119.78 degrees
Sites, in units of the cell vectors:
Hf: 0.043 0.292 0.249
Hf: 0.250 0.295 0.750
Hf: 0.453 0.000 0.249
Hf: 0.547 0.000 0.751
Hf: 0.750 0.705 0.250
Hf: 0.957 0.708 0.751
As: 0.500 0.500 0.500
Se: 0.000 0.500 0.000

Results
Symmetry: P-1, No. 2

A plane-wave DFT calculation with PBE was carried out for a relaxed structure of Hf2AsSe4.

Cell lengths 7.555, 7.555, 7.555 Å; angles 140.43, 140.43, 57.20 degrees
Sites, in units of the cell vectors:
Hf: 0.112 0.112 0.000
Hf: 0.888 0.888 0.000
As: 0.500 0.500 0.000
Se: 0.000 0.500 0.500
Se: 0.302 0.302 0.000
Se: 0.500 0.000 0.500
Se: 0.698 0.698 0.000

Results
Symmetry: I4/mmm, No. 139

Total magnetization readings, ordered: 0.00; 0.00; 0.00 μB/cell
ΔE_f (raw) readings, ordered: -0.25; -0.21; -0.05 eV per atom